Density functional theory data (PBE) for crystalline LaInSn2 at its relaxed geometry.

Computed properties:
M_tot = 0.00 μB/f.u.
ΔH_f (0 K) = -0.339 eV per atom
E_tot = -4.26 eV per atom

Lattice parameters (Å, degrees): 8.441 8.441 6.756 90.00 90.00 90.00
Space group I-42d (No. 122)
Unique sites:
La1 0.000 0.000 0.000 x4
In1 0.000 0.000 0.500 x4
Sn1 0.216 0.250 0.625 x8